## TaCuReGe (PBE)

Data for crystalline TaCuReGe at its relaxed geometry.

Geometry as POSCAR:
```
TaCuReGe
1.0
0.0000 3.1141 3.1141
3.1141 0.0000 3.1141
3.1141 3.1141 0.0000
Cu Ge Re Ta
1 1 1 1
Direct
0.7500 0.7500 0.7500 Cu
0.0000 0.0000 0.0000 Ge
0.2500 0.2500 0.2500 Re
0.5000 0.5000 0.5000 Ta
```

Results
**Electronic total energy**: -31.97 eV/f.u.
**Excess energy over the best structure of this formula in the dataset**: 0 kJ/mol of formula units
**Space-group type**: F-43m